A relaxed structure of Dy2Er4LuTe2Pd2. Source: OQMD via LeMat-Bulk, functional PBE.

Total energy in eV/atom: -5.258

a b c (Å): 9.3716 9.3716 9.3716
angles (deg): 155.88 67.41 118.12
Last column: nearest neighbours and their distance in Å.
Fractional positions:
Dy 0.1294 0.0000 0.1294  2 Pd 2.89, 3 Te 3.12-3.18
Dy 0.8706 0.0000 0.8706  2 Pd 2.89, 3 Te 3.12-3.18
Er 0.1104 0.7927 0.3177  2 Pd 2.84, 1 Te 3.14
Er 0.4749 0.7927 0.6823  2 Pd 2.84, 1 Te 3.14
Er 0.5076 0.1502 0.3575  2 Pd 2.89, 2 Te 3.13
Er 0.7927 0.1502 0.6425  2 Pd 2.89, 2 Te 3.13
Lu 0.4180 0.4180 0.0000  3 Te 3.20-3.23
Te 0.1547 0.6547 0.5000  2 Er 3.14, 4 Dy 3.18, 2 Lu 3.20
Te 0.7538 0.7538 0.0000  2 Dy 3.12, 4 Er 3.13, 1 Lu 3.23
Pd 0.2534 0.4879 0.7654  4 Er 2.84-2.89, 2 Dy 2.89
Pd 0.7225 0.4879 0.2346  4 Er 2.84-2.89, 2 Dy 2.89

A relaxed structure of DyEr2Lu4Te2Pd2. Source: OQMD via LeMat-Bulk, functional PBE.

Total energy in eV/atom: -5.260

a b c (Å): 9.2767 9.2767 9.2767
angles (deg): 155.68 67.28 118.35
Last column: nearest neighbours and their distance in Å.
Fractional positions:
Dy 0.0000 0.0000 0.0000  3 Te 3.19-3.21
Er 0.4526 0.5832 0.8694  2 Pd 2.85, 3 Te 3.08-3.16
Er 0.7138 0.5832 0.1306  2 Pd 2.85, 3 Te 3.08-3.16
Lu 0.0573 0.3739 0.6834  2 Pd 2.81, 1 Te 3.13
Lu 0.0897 0.7340 0.3557  2 Pd 2.88, 2 Te 3.12
Lu 0.3784 0.7340 0.6443  2 Pd 2.88, 2 Te 3.12
Lu 0.6905 0.3739 0.3166  2 Pd 2.81, 1 Te 3.13
Te 0.3380 0.3380 0.0000  2 Er 3.08, 4 Lu 3.12, 1 Dy 3.21
Te 0.7346 0.2346 0.5000  2 Lu 3.13, 4 Er 3.16, 2 Dy 3.19
Pd 0.3043 0.0687 0.2356  4 Lu 2.81-2.88, 2 Er 2.85
Pd 0.8331 0.0687 0.7644  4 Lu 2.81-2.88, 2 Er 2.85

A relaxed structure of DyEr4Lu2Te2Pd2. Source: OQMD via LeMat-Bulk, functional PBE.

Total energy in eV/atom: -5.261

a b c (Å): 9.3448 9.3448 9.3448
angles (deg): 155.82 67.16 118.42
Last column: nearest neighbours and their distance in Å.
Fractional positions:
Dy 0.0000 0.0000 0.0000  3 Te 3.21-3.22
Er 0.0573 0.3741 0.6832  3 Pd 2.84-3.16, 1 Te 3.15
Er 0.4523 0.5822 0.8701  2 Pd 2.87, 3 Te 3.10-3.17
Er 0.6909 0.3741 0.3168  3 Pd 2.84-3.16, 1 Te 3.15
Er 0.7121 0.5822 0.1299  2 Pd 2.87, 3 Te 3.10-3.17
Lu 0.0898 0.7337 0.3560  2 Pd 2.88, 2 Te 3.14
Lu 0.3777 0.7337 0.6440  2 Pd 2.88, 2 Te 3.14
Te 0.3369 0.3369 0.0000  2 Er 3.10, 4 Lu 3.14, 1 Dy 3.22
Te 0.7342 0.2342 0.5000  6 Er 3.15-3.17, 2 Dy 3.21
Pd 0.3075 0.0718 0.2357  5 Er 2.84-3.16, 2 Lu 2.88
Pd 0.8361 0.0718 0.7643  5 Er 2.84-3.16, 2 Lu 2.88

A relaxed structure of Dy4ErLu2Te2Pd2. Source: OQMD via LeMat-Bulk, functional PBE.

Total energy in eV/atom: -5.262

a b c (Å): 9.3593 9.3593 9.3593
angles (deg): 155.74 66.93 118.69
Last column: nearest neighbours and their distance in Å.
Fractional positions:
Dy 0.1432 0.0000 0.1432  2 Pd 2.94, 2 Te 3.15
Dy 0.4568 0.6385 0.8183  3 Pd 2.86-3.15, 1 Te 3.15
Dy 0.8203 0.6385 0.1817  3 Pd 2.86-3.15, 1 Te 3.15
Dy 0.8568 0.0000 0.8568  2 Pd 2.94, 2 Te 3.15
Er 0.7630 0.2630 0.5000  3 Te 3.23-3.28
Lu 0.2174 0.8479 0.3695  2 Pd 2.82, 1 Te 3.07
Lu 0.4784 0.8479 0.6305  2 Pd 2.82, 1 Te 3.07
Te 0.1067 0.6067 0.5000  2 Lu 3.07, 4 Dy 3.15, 1 Er 3.28
Te 0.4949 0.4949 0.0000  2 Dy 3.15, 4 Lu 3.16, 2 Er 3.23
Pd 0.0744 0.3342 0.7402  2 Lu 2.82, 5 Dy 2.86-3.15
Pd 0.5940 0.3342 0.2598  2 Lu 2.82, 5 Dy 2.86-3.15

A relaxed structure of DyEr4Lu2Te2Pd2. Source: OQMD via LeMat-Bulk, functional PBE.

Total energy in eV/atom: -5.263

a b c (Å): 9.3267 9.3267 9.3267
angles (deg): 155.77 67.07 118.54
Last column: nearest neighbours and their distance in Å.
Fractional positions:
Dy 0.0000 0.0000 0.0000  3 Te 3.22-3.26
Er 0.0566 0.3739 0.6827  3 Pd 2.84-3.15, 1 Te 3.14
Er 0.0925 0.7363 0.3562  2 Pd 2.92, 2 Te 3.14
Er 0.3802 0.7363 0.6438  2 Pd 2.92, 2 Te 3.14
Er 0.6912 0.3739 0.3173  3 Pd 2.84-3.15, 1 Te 3.14
Lu 0.4534 0.5843 0.8691  2 Pd 2.82, 3 Te 3.08-3.16
Lu 0.7151 0.5843 0.1309  2 Pd 2.82, 3 Te 3.08-3.16
Te 0.3417 0.3417 0.0000  2 Lu 3.08, 4 Er 3.14, 1 Dy 3.26
Te 0.7324 0.2324 0.5000  2 Er 3.14, 4 Lu 3.16, 2 Dy 3.22
Pd 0.3085 0.0700 0.2384  2 Lu 2.82, 5 Er 2.84-3.15
Pd 0.8316 0.0700 0.7616  2 Lu 2.82, 5 Er 2.84-3.15

A relaxed structure of Dy2YEr2Lu2Te2Pd2. Source: OQMD via LeMat-Bulk, functional PBE.

Total energy in eV/atom: -5.453

a b c (Å): 9.3618 9.3618 9.3618
angles (deg): 155.80 67.09 118.50
Last column: nearest neighbours and their distance in Å.
Fractional positions:
Dy 0.1290 0.0000 0.1290  2 Pd 2.88, 3 Te 3.11-3.18
Dy 0.8710 0.0000 0.8710  2 Pd 2.88, 3 Te 3.11-3.18
Y 0.5833 0.5833 0.0000  3 Te 3.19-3.21
Er 0.2032 0.8482 0.3550  2 Pd 2.90, 2 Te 3.14
Er 0.4932 0.8482 0.6450  2 Pd 2.90, 2 Te 3.14
Lu 0.5243 0.2074 0.3169  2 Pd 2.82, 1 Te 3.15
Lu 0.8905 0.2074 0.6831  2 Pd 2.82, 1 Te 3.15
Te 0.2481 0.2481 0.0000  2 Dy 3.11, 4 Er 3.14, 1 Y 3.21
Te 0.8456 0.3456 0.5000  2 Lu 3.15, 4 Dy 3.18, 2 Y 3.19
Pd 0.2781 0.5143 0.7638  2 Lu 2.82, 2 Dy 2.88, 2 Er 2.90
Pd 0.7505 0.5143 0.2362  2 Lu 2.82, 2 Dy 2.88, 2 Er 2.90